Record 1
# LiHoOs

A geometry-optimized LiHoOs structure (PBE, the Alexandria database).

Symmetry: Cmce, No. 64
Spin magnetization (μB per formula unit): 0.00

Cell and atoms, written as POSCAR:
```
LiHoOs
1.0
-3.035 4.529 0.381
-2.512 -4.743 -2.826
-3.002 -2.603 7.039
Ho Os Li
4 4 4
Cartesian
-5.369 -0.772 5.608
-5.488 -0.467 1.030
-3.061 -2.351 3.564
-3.179 -2.045 -1.015
-4.735 0.264 -1.671
-3.813 -3.082 6.265
-4.557 -3.161 1.278
-3.992 0.343 3.316
-3.862 2.232 1.499
-6.205 -2.786 3.285
-2.344 -0.032 1.309
-4.687 -5.050 3.095
```

Record 2
# KSr2AlSi

A geometry-optimized KSr2AlSi structure (PBE, the Alexandria database).

Symmetry: P4/mmm, No. 123
Spin magnetization (μB per formula unit): 0.00
ΔE_f (raw) (meV/atom): 1067

Cell and atoms, written as POSCAR:
```
KSr2AlSi
1.0
-0.082 6.212 1.137
-5.020 -0.406 1.859
2.237 -1.034 5.815
Sr Al Si K
2 1 1 1
Cartesian
1.119 -0.517 2.908
-0.041 3.106 0.568
-1.432 2.386 4.405
-2.510 -0.203 0.930
0.000 0.000 0.000
```

Record 3
# DyHoInIr

A geometry-optimized DyHoInIr structure (PBE, the Alexandria database).

Symmetry: F-43m, No. 216
Spin magnetization (μB per formula unit): 0.00

Cell and atoms, written as POSCAR:
```
DyHoInIr
1.0
-3.168 3.929 -0.417
-2.636 0.686 -4.269
-5.004 -0.775 -0.038
Ir In Dy Ho
1 1 1 1
Cartesian
0.000 0.000 0.000
-5.404 1.920 -2.362
-2.702 0.960 -1.181
-8.106 2.880 -3.543
```

Record 4
# HfSc2Se5

A geometry-optimized HfSc2Se5 structure (PBE, the Alexandria database).

Symmetry: Cmcm, No. 63
Spin magnetization (μB per formula unit): 0.00
ΔE_f (raw) (meV/atom): -1476

Cell and atoms, written as POSCAR:
```
HfSc2Se5
1.0
5.305 0.000 0.000
-2.653 6.410 0.000
0.000 0.000 12.882
Se Hf Sc
10 2 4
Cartesian
2.653 5.818 8.009
0.000 0.592 1.568
2.653 2.267 7.402
2.653 2.267 11.921
0.000 4.143 0.961
2.653 3.209 3.221
0.000 0.592 4.873
0.000 3.201 9.662
2.653 5.818 11.314
0.000 4.143 5.480
2.653 3.839 9.662
0.000 2.571 3.221
0.000 1.919 12.194
2.653 4.491 0.688
0.000 1.919 7.129
2.653 4.491 5.753
```

| no. | total energy (eV/atom) |
| --- | --- |
| 1 | -5.80 |
| 2 | -1.66 |
| 3 | -5.76 |
| 4 | -6.48 |